1.
The following is a PBE calculation of an optimized crystal structure of Ce2ErGe2, from Alexandria via LeMat-Bulk.

Values from the calculation:
The energy above the lowest structure with this stoichiometry is 0.194 eV/atom. The calculated volume comes out at 127.5 Å³/f.u. For the total energy, the calculation gives -56.3 eV per cell.

a b c (Å): 4.7981 5.8622 9.4054
angles (deg): 105.37 90.00 90.00
With the nearest neighbours (Å) after each atom.
Sites, in units of the cell vectors:
1 Ce 0.2500 0.7299 0.8710  5 Ge 2.93-3.02
2 Ce 0.7500 0.2701 0.1290  5 Ge 2.93-3.02
3 Ce 0.2500 0.3687 0.4845  2 Ce 2.82, 4 Ge 2.94-3.14
4 Ce 0.7500 0.6313 0.5155  2 Ce 2.82, 4 Ge 2.94-3.14
5 Er 0.2500 0.7742 0.2534  5 Ge 3.04-3.21
6 Er 0.7500 0.2258 0.7466  5 Ge 3.04-3.21
7 Ge 0.2500 0.9221 0.6078  5 Ce 2.94-3.14, 3 Er 3.07-3.21
8 Ge 0.7500 0.0779 0.3922  5 Ce 2.94-3.14, 3 Er 3.07-3.21
9 Ge 0.2500 0.2648 0.9497  4 Ce 2.93-3.02, 2 Er 3.04
10 Ge 0.7500 0.7352 0.0503  4 Ce 2.93-3.02, 2 Er 3.04

2.
The following is a PBE calculation of an optimized crystal structure of CeEr4Ge4, from Alexandria via LeMat-Bulk.

Values from the calculation:
The calculated volume comes out at 246.5 Å³/f.u. For the total energy, the calculation gives -95.9 eV per cell.

a b c (Å): 5.7525 9.2575 9.2575
angles (deg): 90.00 90.00 90.00
With the nearest neighbours (Å) after each atom.
Sites, in units of the cell vectors:
1 Ce 0.0000 0.0000 0.0000  4 Ge 2.92
2 Ce 0.5000 0.5000 0.5000  4 Ge 2.92
3 Er 0.4996 0.3122 0.8973  5 Ge 2.87-2.93
4 Er 0.9996 0.6027 0.8122  5 Ge 2.87-2.93
5 Er 0.4996 0.6878 0.1027  5 Ge 2.87-2.93
6 Er 0.0004 0.1878 0.6027  5 Ge 2.87-2.93
7 Er 0.5004 0.8973 0.6878  5 Ge 2.87-2.93
8 Er 0.0004 0.8122 0.3973  5 Ge 2.87-2.93
9 Er 0.9996 0.3973 0.1878  5 Ge 2.87-2.93
10 Er 0.5004 0.1027 0.3122  5 Ge 2.87-2.93
11 Ge 0.5004 0.7962 0.3931  5 Er 2.87-2.93, 1 Ce 2.92
12 Ge 0.5004 0.2038 0.6069  5 Er 2.87-2.93, 1 Ce 2.92
13 Ge 0.0004 0.8931 0.7038  5 Er 2.87-2.93, 1 Ce 2.92
14 Ge 0.9996 0.2962 0.8931  5 Er 2.87-2.93, 1 Ce 2.92
15 Ge 0.9996 0.7038 0.1069  5 Er 2.87-2.93, 1 Ce 2.92
16 Ge 0.4996 0.3931 0.2038  5 Er 2.87-2.93, 1 Ce 2.92
17 Ge 0.4996 0.6069 0.7962  5 Er 2.87-2.93, 1 Ce 2.92
18 Ge 0.0004 0.1069 0.2962  5 Er 2.87-2.93, 1 Ce 2.92

3.
The following is a PBE calculation of an optimized crystal structure of CeEr2Ge, from Alexandria via LeMat-Bulk.

Values from the calculation:
The energy above the lowest structure with this stoichiometry is 0.139 eV/atom. The calculated volume comes out at 109.5 Å³/f.u. For the total energy, the calculation gives -20.4 eV per cell.

a b c (Å): 3.5553 3.5553 10.2070
angles (deg): 79.97 79.97 60.00
With the nearest neighbours (Å) after each atom.
Sites, in units of the cell vectors:
1 Ge 0.0000 0.0000 0.0000  6 Er 2.92
2 Ce 0.5000 0.5000 0.5000  6 Ce 3.56, 6 Er 3.57
3 Er 0.2639 0.2639 0.2083  3 Ge 2.92
4 Er 0.7361 0.7361 0.7917  3 Ge 2.92

4.
The following is a PBE calculation of an optimized crystal structure of CeErGe2, from Alexandria via LeMat-Bulk.

Values from the calculation:
The calculated volume comes out at 102.9 Å³/f.u. For the total energy, the calculation gives -22.3 eV per cell.

a b c (Å): 4.2541 4.2541 7.0098
angles (deg): 72.34 72.34 60.00
With the nearest neighbours (Å) after each atom.
Sites, in units of the cell vectors:
1 Ge 0.7496 0.7496 0.7513  3 Er 2.95, 3 Ce 2.96
2 Ge 0.2504 0.2504 0.2487  3 Er 2.95, 3 Ce 2.96
3 Ce 0.5000 0.5000 0.5000  6 Ge 2.96
4 Er 0.0000 0.0000 0.0000  6 Ge 2.95

5.
The following is a PBE calculation of an optimized crystal structure of CeErGe2, from Alexandria via LeMat-Bulk.

Values from the calculation:
The calculated volume comes out at 90.6 Å³/f.u. For the total energy, the calculation gives -22.2 eV per cell.

a b c (Å): 4.0502 4.7293 4.7293
angles (deg): 90.00 90.00 90.00
With the nearest neighbours (Å) after each atom.
Sites, in units of the cell vectors:
1 Ge 0.0000 0.0000 0.5000  4 Er 3.11, 4 Ce 3.11, 4 Ge 3.34
2 Ge 0.0000 0.5000 0.0000  4 Er 3.11, 4 Ce 3.11, 4 Ge 3.34
3 Ce 0.5000 0.0000 0.0000  8 Ge 3.11, 4 Er 3.34
4 Er 0.5000 0.5000 0.5000  8 Ge 3.11, 4 Ce 3.34

6.
The following is a PBE calculation of an optimized crystal structure of Ce2ErGe, from Alexandria via LeMat-Bulk.

Values from the calculation:
The energy above the lowest structure with this stoichiometry is 0.130 eV/atom. The calculated volume comes out at 107.8 Å³/f.u. For the total energy, the calculation gives -22.4 eV per cell.

a b c (Å): 3.9859 3.9859 6.7869
angles (deg): 90.00 90.00 90.00
With the nearest neighbours (Å) after each atom.
Sites, in units of the cell vectors:
1 Ge 0.5000 0.5000 0.5000  8 Ce 3.12, 2 Er 3.39
2 Ce 0.0000 0.0000 0.6980  1 Ce 2.69
3 Ce 0.0000 0.0000 0.3020  1 Ce 2.69
4 Er 0.5000 0.5000 0.0000  2 Ge 3.39, 8 Ce 3.48

7.
The following is a PBE calculation of an optimized crystal structure of CeErGe, from Alexandria via LeMat-Bulk.

Values from the calculation:
The calculated volume comes out at 83.8 Å³/f.u. For the total energy, the calculation gives -16.3 eV per cell.

a b c (Å): 4.9118 4.9118 4.9118
angles (deg): 60.00 60.00 60.00
With the nearest neighbours (Å) after each atom.
Sites, in units of the cell vectors:
1 Ge 0.2500 0.2500 0.2500  4 Er 3.01, 4 Ce 3.01
2 Ce 0.5000 0.5000 0.5000  4 Ge 3.01
3 Er 0.0000 0.0000 0.0000  4 Ge 3.01

8.
The following is a PBE calculation of an optimized crystal structure of Ce2ErGe, from Alexandria via LeMat-Bulk.

Values from the calculation:
The energy above the lowest structure with this stoichiometry is 0.000 eV/atom. The calculated volume comes out at 99.0 Å³/f.u. For the total energy, the calculation gives -45.7 eV per cell.

a b c (Å): 4.2715 4.2415 11.1207
angles (deg): 90.00 100.65 90.00
With the nearest neighbours (Å) after each atom.
Sites, in units of the cell vectors:
1 Ce 0.5983 0.2500 0.1222  2 Ce 2.77, 1 Ge 3.10
2 Ce 0.4017 0.7500 0.8778  2 Ce 2.77, 1 Ge 3.10
3 Ce 0.0191 0.7500 0.1277  2 Ce 2.77
4 Ce 0.9809 0.2500 0.8723  2 Ce 2.77
5 Er 0.6961 0.7500 0.3950  5 Ge 2.93-3.10
6 Er 0.3039 0.2500 0.6050  5 Ge 2.93-3.10
7 Ge 0.1760 0.2500 0.3366  5 Er 2.93-3.10, 4 Ce 3.10-3.24
8 Ge 0.8240 0.7500 0.6634  5 Er 2.93-3.10, 4 Ce 3.10-3.24

9.
The following is a PBE calculation of an optimized crystal structure of Ce2ErGe2, from Alexandria via LeMat-Bulk.

Values from the calculation:
The energy above the lowest structure with this stoichiometry is 0.000 eV/atom. The calculated volume comes out at 126.2 Å³/f.u. For the total energy, the calculation gives -58.3 eV per cell.

a b c (Å): 4.2991 7.6627 7.6627
angles (deg): 90.00 90.00 90.00
With the nearest neighbours (Å) after each atom.
Sites, in units of the cell vectors:
1 Ce 0.5000 0.1705 0.6705  6 Ge 3.05-3.17
2 Ce 0.5000 0.6705 0.8295  6 Ge 3.05-3.17
3 Ce 0.5000 0.8295 0.3295  6 Ge 3.05-3.17
4 Ce 0.5000 0.3295 0.1705  6 Ge 3.05-3.17
5 Er 0.0000 0.0000 0.0000  4 Ge 3.00
6 Er 0.0000 0.5000 0.5000  4 Ge 3.00
7 Ge 0.0000 0.3695 0.8695  1 Ge 2.83, 2 Er 3.00, 2 Ce 3.05
8 Ge 0.0000 0.8695 0.6305  1 Ge 2.83, 2 Er 3.00, 2 Ce 3.05
9 Ge 0.0000 0.6305 0.1305  1 Ge 2.83, 2 Er 3.00, 2 Ce 3.05
10 Ge 0.0000 0.1305 0.3695  1 Ge 2.83, 2 Er 3.00, 2 Ce 3.05

10.
The following is a PBE calculation of an optimized crystal structure of CeErGe2, from Alexandria via LeMat-Bulk.

Values from the calculation:
The calculated volume comes out at 106.0 Å³/f.u. For the total energy, the calculation gives -22.0 eV per cell.

a b c (Å): 4.3786 4.3786 6.8642
angles (deg): 71.40 71.40 60.00
With the nearest neighbours (Å) after each atom.
Sites, in units of the cell vectors:
1 Ce 0.6699 0.6699 0.9902  6 Ge 3.03-3.08, 1 Er 3.34
2 Er 0.4954 0.4954 0.5138  6 Ge 2.88-2.98
3 Ge 0.0901 0.0901 0.7296  3 Er 2.88, 1 Ge 2.96, 3 Ce 3.03
4 Ge 0.2445 0.2445 0.2664  1 Ge 2.96, 3 Er 2.98, 3 Ce 3.08

11.
The following is a PBE calculation of an optimized crystal structure of Ce2ErGe, from Alexandria via LeMat-Bulk.

Values from the calculation:
The energy above the lowest structure with this stoichiometry is 0.077 eV/atom. The calculated volume comes out at 96.0 Å³/f.u. For the total energy, the calculation gives -22.6 eV per cell.

a b c (Å): 5.0535 4.3582 4.3582
angles (deg): 90.00 90.00 90.00
With the nearest neighbours (Å) after each atom.
Sites, in units of the cell vectors:
1 Ge 0.5000 0.0000 0.0000  4 Er 3.08, 8 Ce 3.34
2 Ce 0.0000 0.0000 0.5000  4 Ce 3.08, 4 Er 3.34, 4 Ge 3.34
3 Ce 0.0000 0.5000 0.0000  4 Ce 3.08, 4 Ge 3.34, 4 Er 3.34
4 Er 0.5000 0.5000 0.5000  4 Ge 3.08, 8 Ce 3.34

12.
The following is a PBE calculation of an optimized crystal structure of CeErGe, from Alexandria via LeMat-Bulk.

Values from the calculation:
The calculated volume comes out at 72.6 Å³/f.u. For the total energy, the calculation gives -34.3 eV per cell.

a b c (Å): 4.1622 4.1622 8.8805
angles (deg): 103.55 103.55 90.00
With the nearest neighbours (Å) after each atom.
Sites, in units of the cell vectors:
1 Ce 0.0000 0.5000 0.0000  4 Ce 2.94, 4 Ge 3.16
2 Ce 0.5000 0.0000 0.0000  4 Ce 2.94, 4 Ge 3.16
3 Er 0.1801 0.1801 0.3602  5 Ge 2.98-3.01
4 Er 0.8199 0.8199 0.6398  5 Ge 2.98-3.01
5 Ge 0.3581 0.3581 0.7163  5 Er 2.98-3.01, 4 Ce 3.16
6 Ge 0.6419 0.6419 0.2837  5 Er 2.98-3.01, 4 Ce 3.16

13.
The following is a PBE calculation of an optimized crystal structure of CeEr2Ge, from Alexandria via LeMat-Bulk.

Values from the calculation:
The energy above the lowest structure with this stoichiometry is 0.000 eV/atom. The calculated volume comes out at 98.6 Å³/f.u. For the total energy, the calculation gives -21.0 eV per cell.

a b c (Å): 4.4707 4.6957 4.6957
angles (deg): 90.00 90.00 90.00
With the nearest neighbours (Å) after each atom.
Sites, in units of the cell vectors:
1 Ge 0.5000 0.0000 0.0000  8 Er 3.24, 4 Ce 3.32
2 Ce 0.5000 0.5000 0.5000  8 Er 3.24, 4 Ge 3.32
3 Er 0.0000 0.0000 0.5000  4 Ge 3.24, 4 Ce 3.24, 4 Er 3.32
4 Er 0.0000 0.5000 0.0000  4 Ge 3.24, 4 Ce 3.24, 4 Er 3.32